This record from Alexandria describes a geometry-optimized KNaLaGe2 structure. The functional is PBE-GGA.

abc: 5.6566 5.4989 5.6566
angles: 90.00 90.00 90.00
Closest atoms and distances in Å follow each position.
Atoms (fractional coordinates):
1 Ge 0.5000 0.0000 0.0000  2 K 2.83
2 Ge 0.0000 0.0000 0.5000  2 K 2.83
3 Na 0.5000 0.5000 0.5000  8 Ge 3.94, 4 La 4.00
4 K 0.0000 0.0000 0.0000  2 La 2.75, 4 Ge 2.83
5 La 0.0000 0.5000 0.0000  2 K 2.75

Values from the calculation:
Total energy = -2.36 eV/atom
Density = 3.27 g/cm3
DFT formation energy = 951.3 meV per atom